[1]
This record from Alexandria via LeMat-Bulk describes a geometry-optimized PmDyCo10 structure. The functional is PBE. Values from VASP.

Summary:
- Fermi-level density of states: 19.3 states/eV/cell
- Energy relative to the elements: -83 meV/atom
- Calculated total energy: -6.78 eV/atom

Quantum ESPRESSO input file:
```
&SYSTEM
  ibrav = 0, nat = 12, ntyp = 3
/
ATOMIC_SPECIES
Pm 145.00 Pm.upf
Dy 162.50 Dy.upf
Co 58.93 Co.upf
ATOMIC_POSITIONS angstrom
Pm 0.000 0.000 0.000
Dy 0.000 2.475 4.297
Co 0.000 0.000 2.897
Co 0.000 2.475 7.111
Co 0.000 2.475 1.482
Co 0.000 0.000 5.696
Co 1.972 0.000 4.297
Co 1.972 2.475 0.000
Co 1.972 1.248 2.175
Co 1.972 3.702 6.418
Co 1.972 3.702 2.175
Co 1.972 1.248 6.418
CELL_PARAMETERS angstrom
3.945 0.000 0.000
0.000 4.950 0.000
0.000 0.000 8.593
```

***

[2]
This record from Alexandria via LeMat-Bulk describes a geometry-optimized Pm3DyCo structure. The functional is PBE. Values from VASP.

Summary:
- Relative energy among the computed polymorphs: 49 meV per atom
- Fermi-level density of states: 12.8 states/eV/cell
- Energy relative to the elements: -25 meV/atom
- Calculated total energy: -5.22 eV/atom

Quantum ESPRESSO input file:
```
&SYSTEM
  ibrav = 0, nat = 10, ntyp = 3
/
ATOMIC_SPECIES
Pm 145.00 Pm.upf
Dy 162.50 Dy.upf
Co 58.93 Co.upf
ATOMIC_POSITIONS angstrom
Pm 5.036 0.407 -0.254
Pm 3.094 -4.955 0.247
Pm 3.816 -2.292 2.851
Pm 1.936 -1.326 -0.011
Pm 0.270 -0.494 3.021
Pm 6.193 -3.223 0.013
Dy 0.692 -4.067 3.038
Dy 3.395 1.283 2.826
Co -2.098 0.712 3.139
Co 7.405 -0.798 -0.371
CELL_PARAMETERS angstrom
-4.047 1.755 5.873
1.603 -7.160 0.331
6.684 2.958 -0.727
```

***

[3]
This record from Alexandria via LeMat-Bulk describes a geometry-optimized Pm2DyCo structure. The functional is PBE. Values from VASP.

Summary:
- Relative energy among the computed polymorphs: 52 meV per atom
- Fermi-level density of states: 15.8 states/eV/cell
- Energy relative to the elements: -51 meV/atom
- Calculated total energy: -5.35 eV/atom

Quantum ESPRESSO input file:
```
&SYSTEM
  ibrav = 0, nat = 16, ntyp = 3
/
ATOMIC_SPECIES
Pm 145.00 Pm.upf
Dy 162.50 Dy.upf
Co 58.93 Co.upf
ATOMIC_POSITIONS angstrom
Pm -4.298 -5.621 10.711
Pm -1.529 -0.347 1.163
Pm -1.339 -3.880 6.664
Pm -4.488 -2.087 5.210
Pm -4.928 -1.897 1.526
Pm -0.899 -4.071 10.348
Pm -1.005 -0.552 4.836
Pm -4.822 -5.415 7.038
Dy -1.843 -3.625 2.904
Dy -3.984 -2.343 8.970
Dy -5.301 -5.266 3.270
Dy -0.525 -0.701 8.604
Co 0.572 -1.967 6.549
Co -6.399 -4.000 5.325
Co -2.017 -1.619 10.594
Co -3.810 -4.348 1.280
CELL_PARAMETERS angstrom
-6.125 1.085 0.861
-1.170 -6.449 -0.193
1.468 -0.603 11.206
```

***

[4]
This record from Alexandria via LeMat-Bulk describes a geometry-optimized Pm2DyCo structure. The functional is PBE. Values from VASP.

Summary:
- Relative energy among the computed polymorphs: 168 meV per atom
- Fermi-level density of states: 5.4 states/eV/cell
- Energy relative to the elements: 65 meV/atom
- Calculated total energy: -5.24 eV/atom

Quantum ESPRESSO input file:
```
&SYSTEM
  ibrav = 0, nat = 4, ntyp = 3
/
ATOMIC_SPECIES
Pm 145.00 Pm.upf
Dy 162.50 Dy.upf
Co 58.93 Co.upf
ATOMIC_POSITIONS angstrom
Pm 1.908 1.101 7.558
Pm 1.908 1.101 1.603
Dy 3.815 2.203 4.557
Co 3.815 2.203 0.012
CELL_PARAMETERS angstrom
3.815 0.000 0.000
1.908 3.304 0.000
1.908 1.101 9.154
```

***

[5]
This record from Alexandria via LeMat-Bulk describes a geometry-optimized PmDy2Co structure. The functional is PBE. Values from VASP.

Summary:
- Relative energy among the computed polymorphs: 74 meV per atom
- Fermi-level density of states: 3.6 states/eV/cell
- Energy relative to the elements: -63 meV/atom
- Calculated total energy: -5.33 eV/atom

Quantum ESPRESSO input file:
```
&SYSTEM
  ibrav = 0, nat = 4, ntyp = 3
/
ATOMIC_SPECIES
Pm 145.00 Pm.upf
Co 58.93 Co.upf
Dy 162.50 Dy.upf
ATOMIC_POSITIONS angstrom
Pm -3.049 -3.774 1.514
Co -0.954 -1.441 -1.679
Dy -3.436 -3.826 5.237
Dy -0.753 -0.839 1.148
CELL_PARAMETERS angstrom
-2.858 0.025 -1.856
0.949 -2.908 -1.501
-4.189 -4.665 6.385
```

***

[6]
This record from Alexandria via LeMat-Bulk describes a geometry-optimized Pm3Dy2Co2 structure. The functional is PBE. Values from VASP.

Summary:
- Fermi-level density of states: 7.1 states/eV/cell
- Energy relative to the elements: -101 meV/atom
- Calculated total energy: -5.48 eV/atom

Quantum ESPRESSO input file:
```
&SYSTEM
  ibrav = 0, nat = 7, ntyp = 3
/
ATOMIC_SPECIES
Pm 145.00 Pm.upf
Dy 162.50 Dy.upf
Co 58.93 Co.upf
ATOMIC_POSITIONS angstrom
Pm 1.878 0.000 0.000
Pm 1.878 -0.009 3.428
Pm 0.000 2.737 4.458
Dy 1.878 3.288 1.329
Dy 0.000 -0.560 6.557
Co 1.878 1.322 6.020
Co 0.000 1.406 1.866
CELL_PARAMETERS angstrom
3.757 0.000 0.000
-1.878 6.023 -0.398
0.000 -3.295 8.284
```

***

[7]
This record from Alexandria via LeMat-Bulk describes a geometry-optimized Pm2Dy3Co2 structure. The functional is PBE. Values from VASP.

Summary:
- Fermi-level density of states: 7.8 states/eV/cell
- Energy relative to the elements: -135 meV/atom
- Calculated total energy: -5.49 eV/atom

Quantum ESPRESSO input file:
```
&SYSTEM
  ibrav = 0, nat = 7, ntyp = 3
/
ATOMIC_SPECIES
Pm 145.00 Pm.upf
Dy 162.50 Dy.upf
Co 58.93 Co.upf
ATOMIC_POSITIONS angstrom
Pm 1.828 3.325 1.350
Pm 0.000 -0.636 6.537
Dy 1.828 0.000 0.000
Dy 1.828 0.008 3.433
Dy 0.000 2.680 4.455
Co 1.828 1.363 6.020
Co 0.000 1.325 1.868
CELL_PARAMETERS angstrom
3.655 0.000 0.000
-1.828 6.065 -0.454
0.000 -3.377 8.342
```

***

[8]
This record from Alexandria via LeMat-Bulk describes a geometry-optimized PmDyCo2 structure. The functional is PBE. Values from VASP.

Summary:
- Relative energy among the computed polymorphs: 5 meV per atom
- Fermi-level density of states: 8.8 states/eV/cell
- Energy relative to the elements: -143 meV/atom
- Calculated total energy: -6.03 eV/atom

Quantum ESPRESSO input file:
```
&SYSTEM
  ibrav = 0, nat = 8, ntyp = 3
/
ATOMIC_SPECIES
Pm 145.00 Pm.upf
Dy 162.50 Dy.upf
Co 58.93 Co.upf
ATOMIC_POSITIONS angstrom
Pm 1.941 2.073 2.455
Pm 1.941 3.567 6.252
Dy 0.000 0.741 5.161
Dy 0.000 4.900 1.365
Co 0.000 3.744 3.995
Co 0.000 1.896 0.198
Co 1.941 4.840 3.575
Co 1.941 0.800 7.371
CELL_PARAMETERS angstrom
3.881 0.000 0.000
0.000 5.641 0.000
0.000 0.000 7.593
```